# PBE Dy6Y12Tm, optimized geometry
data_Dy6Y12Tm
_chemical_formula_sum 'Dy6 Y12 Tm1'
_symmetry_space_group_name_H-M 'P 1'
_symmetry_Int_Tables_number 1
_cell_length_a 8.541
_cell_length_b 8.541
_cell_length_c 8.541
_cell_angle_alpha 87.99
_cell_angle_beta 87.99
_cell_angle_gamma 87.99
loop_
_symmetry_equiv_pos_as_xyz
'x,y,z'
loop_
_atom_site_label
_atom_site_type_symbol
_atom_site_fract_x
_atom_site_fract_y
_atom_site_fract_z
_atom_site_occupancy
Dy1 Dy 0.195 0.756 0.593 1
Dy2 Dy 0.244 0.407 0.805 1
Dy3 Dy 0.407 0.805 0.244 1
Dy4 Dy 0.593 0.195 0.756 1
Dy5 Dy 0.756 0.593 0.195 1
Dy6 Dy 0.805 0.244 0.407 1
Y1 Y 0.042 0.937 0.277 1
Y2 Y 0.063 0.723 0.958 1
Y3 Y 0.141 0.488 0.299 1
Y4 Y 0.277 0.042 0.937 1
Y5 Y 0.299 0.141 0.488 1
Y6 Y 0.488 0.299 0.141 1
Y7 Y 0.512 0.701 0.859 1
Y8 Y 0.701 0.859 0.512 1
Y9 Y 0.723 0.958 0.063 1
Y10 Y 0.859 0.512 0.701 1
Y11 Y 0.937 0.277 0.042 1
Y12 Y 0.958 0.063 0.723 1
Tm1 Tm 0.500 0.500 0.500 1
# space group	R-3, No. 148
# volume	622.0	Å³ per cell
# ΔE to the lowest computed polymorph	0.0	meV per atom
# E_form	151	meV per atom

---

# PBE ZrMnSi, optimized geometry
data_ZrMnSi
_chemical_formula_sum 'Zr1 Mn1 Si1'
_symmetry_space_group_name_H-M 'P 1'
_symmetry_Int_Tables_number 1
_cell_length_a 4.282
_cell_length_b 4.282
_cell_length_c 4.282
_cell_angle_alpha 60.00
_cell_angle_beta 60.00
_cell_angle_gamma 60.00
loop_
_symmetry_equiv_pos_as_xyz
'x,y,z'
loop_
_atom_site_label
_atom_site_type_symbol
_atom_site_fract_x
_atom_site_fract_y
_atom_site_fract_z
_atom_site_occupancy
Zr1 Zr 0.000 0.000 0.000 1
Mn1 Mn 0.500 0.500 0.500 1
Si1 Si 0.250 0.250 0.250 1
# space group	F-43m, No. 216
# volume	55.5	Å³ per cell
# E_form (uncorrected)	-185.2	meV/atom

---

# PBE CdSiRh2W, optimized geometry
data_CdSiRh2W
_chemical_formula_sum 'Cd1 Si1 Rh2 W1'
_symmetry_space_group_name_H-M 'P 1'
_symmetry_Int_Tables_number 1
_cell_length_a 4.414
_cell_length_b 4.414
_cell_length_c 4.588
_cell_angle_alpha 90.00
_cell_angle_beta 90.00
_cell_angle_gamma 90.00
loop_
_symmetry_equiv_pos_as_xyz
'x,y,z'
loop_
_atom_site_label
_atom_site_type_symbol
_atom_site_fract_x
_atom_site_fract_y
_atom_site_fract_z
_atom_site_occupancy
Cd1 Cd 0.000 0.000 0.000 1
Si1 Si 0.500 0.500 0.500 1
Rh1 Rh 0.000 0.500 0.500 1
Rh2 Rh 0.500 0.000 0.500 1
W1 W 0.500 0.500 0.000 1
# space group	P4/mmm, No. 123
# volume	89.4	Å³ per cell
# E_form (uncorrected)	540.3	meV/atom